(1)
# PrNd2Pb | Alexandria | PBE | relaxed
# E = -0.328 Ry/atom
# energy relative to the lowest polymorph listed for this composition = 37.2 kJ per mole of atoms
# total magnetic moment = 0.00 μB per formula unit
# DFT formation energy = 0.18 eV/f.u.
data_PrNd2Pb
_cell_length_a 3.6432
_cell_length_b 3.6432
_cell_length_c 37.3617
_cell_angle_alpha 90.00
_cell_angle_beta 90.00
_cell_angle_gamma 120.00
_symmetry_space_group_name_H-M 'R -3 m'
_symmetry_Int_Tables_number 166
_symmetry_space_group_name_Hall '-R 3 2"'
loop_
_atom_site_label
_atom_site_fract_x
_atom_site_fract_y
_atom_site_fract_z
Pr1 0.0000 0.0000 0.0000
Nd1 0.0000 0.0000 0.4128
Pb1 0.0000 0.0000 0.5000

***

(2)
# Pr12Nd3Pb | Alexandria | PBE | relaxed
# E = -0.351 Ry/atom
# total magnetic moment = 0.00 μB per formula unit
# DFT formation energy = -1.04 eV/f.u.
data_Pr12Nd3Pb
_cell_length_a 5.157
_cell_length_b 5.157
_cell_length_c 21.079
_cell_angle_alpha 90.00
_cell_angle_beta 90.00
_cell_angle_gamma 90.00
_symmetry_space_group_name_H-M 'P 4/m m m'
_symmetry_Int_Tables_number 123
_symmetry_space_group_name_Hall '-P 4 2'
loop_
_atom_site_label
_atom_site_fract_x
_atom_site_fract_y
_atom_site_fract_z
Pr1 0.000 0.000 0.000
Pr2 0.000 0.000 0.246
Pr3 0.000 0.000 0.500
Pr4 0.000 0.500 0.120
Pr5 0.000 0.500 0.373
Nd1 0.500 0.500 0.248
Nd2 0.500 0.500 0.500
Pb1 0.500 0.500 0.000

***

(3)
# Pr5NdPb3 | Alexandria | PBE | relaxed
# E = -0.357 Ry/atom
# total magnetic moment = 3.01 μB per formula unit
# DFT formation energy = -3.91 eV/f.u.
data_Pr5NdPb3
_cell_length_a 9.8440
_cell_length_b 9.8440
_cell_length_c 6.8758
_cell_angle_alpha 90.00
_cell_angle_beta 90.00
_cell_angle_gamma 120.00
_symmetry_space_group_name_H-M 'P 63/m c m'
_symmetry_Int_Tables_number 193
_symmetry_space_group_name_Hall '-P 6c 2'
loop_
_atom_site_label
_atom_site_fract_x
_atom_site_fract_y
_atom_site_fract_z
Pr1 0.0000 0.3332 0.2500
Pr2 0.3333 0.6667 0.0000
Nd1 0.0000 0.0000 0.0000
Pb1 0.0000 0.3329 0.7500

***

(4)
# Pr3NdPb4 | Alexandria | PBE | relaxed
# E = -0.350 Ry/atom
# energy relative to the lowest polymorph listed for this composition = 0.0 kJ per mole of atoms
# total magnetic moment = 0.02 μB per formula unit
# DFT formation energy = -4.16 eV/f.u.
data_Pr3NdPb4
_cell_length_a 7.289
_cell_length_b 7.297
_cell_length_c 9.904
_cell_angle_alpha 90.00
_cell_angle_beta 111.51
_cell_angle_gamma 90.00
_symmetry_space_group_name_H-M 'C 1 2/m 1'
_symmetry_Int_Tables_number 12
loop_
_symmetry_equiv_pos_as_xyz
'x,y,z'
'-x,-y,-z'
'-x,y,-z'
'x,-y,z'
'x+1/2,y+1/2,z'
'-x+1/2,-y+1/2,-z'
'-x+1/2,y+1/2,-z'
'x+1/2,-y+1/2,z'
loop_
_atom_site_label
_atom_site_fract_x
_atom_site_fract_y
_atom_site_fract_z
Pr1 0.000 0.000 0.000
Pr2 0.250 0.000 0.500
Nd1 0.000 0.500 0.000
Pb1 0.125 0.250 0.751

***

(5)
# Pr3NdPb2 | Alexandria | PBE | relaxed
# E = -0.340 Ry/atom
# energy relative to the lowest polymorph listed for this composition = 22.8 kJ per mole of atoms
# total magnetic moment = 0.00 μB per formula unit
# DFT formation energy = -1.24 eV/f.u.
data_Pr3NdPb2
_cell_length_a 7.682
_cell_length_b 15.117
_cell_length_c 7.882
_cell_angle_alpha 90.00
_cell_angle_beta 90.00
_cell_angle_gamma 90.00
_symmetry_space_group_name_H-M 'I b a m'
_symmetry_Int_Tables_number 72
_symmetry_space_group_name_Hall '-I 2 2c'
loop_
_atom_site_label
_atom_site_fract_x
_atom_site_fract_y
_atom_site_fract_z
Pr1 0.000 0.000 0.250
Pr2 0.000 0.288 0.250
Nd1 0.000 0.500 0.000
Pb1 0.184 0.142 0.000

***

(6)
# PrNd2Pb3 | Alexandria | PBE | relaxed
# E = -0.350 Ry/atom
# energy relative to the lowest polymorph listed for this composition = 0.0 kJ per mole of atoms
# total magnetic moment = 0.01 μB per formula unit
# DFT formation energy = -3.14 eV/f.u.
data_PrNd2Pb3
_cell_length_a 5.078
_cell_length_b 15.500
_cell_length_c 9.261
_cell_angle_alpha 90.00
_cell_angle_beta 90.00
_cell_angle_gamma 90.00
_symmetry_space_group_name_H-M 'C m m m'
_symmetry_Int_Tables_number 65
_symmetry_space_group_name_Hall '-C 2 2'
loop_
_atom_site_label
_atom_site_fract_x
_atom_site_fract_y
_atom_site_fract_z
Pr1 0.000 0.166 0.000
Nd1 0.000 0.167 0.500
Nd2 0.000 0.500 0.000
Nd3 0.000 0.500 0.500
Pb1 0.000 0.000 0.251
Pb2 0.000 0.334 0.251

***

(7)
# PrNd3Pb4 | Alexandria | PBE | relaxed
# E = -0.349 Ry/atom
# total magnetic moment = 0.00 μB per formula unit
# DFT formation energy = -4.12 eV/f.u.
data_PrNd3Pb4
_cell_length_a 19.066
_cell_length_b 5.142
_cell_length_c 5.143
_cell_angle_alpha 90.00
_cell_angle_beta 105.56
_cell_angle_gamma 90.00
_symmetry_space_group_name_H-M 'C 1 2/m 1'
_symmetry_Int_Tables_number 12
loop_
_symmetry_equiv_pos_as_xyz
'x,y,z'
'-x,-y,-z'
'-x,y,-z'
'x,-y,z'
'x+1/2,y+1/2,z'
'-x+1/2,-y+1/2,-z'
'-x+1/2,y+1/2,-z'
'x+1/2,-y+1/2,z'
loop_
_atom_site_label
_atom_site_fract_x
_atom_site_fract_y
_atom_site_fract_z
Pr1 0.000 0.000 0.000
Nd1 0.000 0.500 0.500
Nd2 0.250 0.000 0.250
Pb1 0.125 0.000 0.625
Pb2 0.125 0.500 0.125

***

(8)
# PrNd3Pb2S | Alexandria | PBE | relaxed
# E = -0.378 Ry/atom
# total magnetic moment = 0.00 μB per formula unit
# formation energy without anion corrections = -74.6 kJ per mole of atoms
data_PrNd3Pb2S
_cell_length_a 5.286
_cell_length_b 5.318
_cell_length_c 16.699
_cell_angle_alpha 90.00
_cell_angle_beta 90.00
_cell_angle_gamma 90.00
_symmetry_space_group_name_H-M 'I m m m'
_symmetry_Int_Tables_number 71
_symmetry_space_group_name_Hall '-I 2 2'
loop_
_atom_site_label
_atom_site_fract_x
_atom_site_fract_y
_atom_site_fract_z
Pr1 0.000 0.000 0.000
Nd1 0.000 0.000 0.500
Nd2 0.000 0.500 0.169
Pb1 0.000 0.500 0.363
S1 0.000 0.500 0.000

***

(9)
# Pr3Nd6Sm2Pb | Alexandria | PBE | relaxed
# E = -0.348 Ry/atom
# total magnetic moment = 0.00 μB per formula unit
# DFT formation energy = -0.67 eV/f.u.
data_Pr3Nd6Sm2Pb
_cell_length_a 6.301
_cell_length_b 10.951
_cell_length_c 12.068
_cell_angle_alpha 90.00
_cell_angle_beta 100.25
_cell_angle_gamma 90.00
_symmetry_space_group_name_H-M 'C 1 2/m 1'
_symmetry_Int_Tables_number 12
loop_
_symmetry_equiv_pos_as_xyz
'x,y,z'
'-x,-y,-z'
'-x,y,-z'
'x,-y,z'
'x+1/2,y+1/2,z'
'-x+1/2,-y+1/2,-z'
'-x+1/2,y+1/2,-z'
'x+1/2,-y+1/2,z'
loop_
_atom_site_label
_atom_site_fract_x
_atom_site_fract_y
_atom_site_fract_z
Pr1 0.000 0.000 0.000
Pr2 0.000 0.330 0.000
Nd1 0.242 0.500 0.253
Nd2 0.244 0.338 0.745
Sm1 0.000 0.165 0.500
Pb1 0.000 0.500 0.500

***

(10)
# Pr6Nd3Sm2Pb | Alexandria | PBE | relaxed
# E = -0.348 Ry/atom
# total magnetic moment = 0.00 μB per formula unit
# DFT formation energy = -0.65 eV/f.u.
data_Pr6Nd3Sm2Pb
_cell_length_a 6.314
_cell_length_b 10.980
_cell_length_c 12.109
_cell_angle_alpha 90.00
_cell_angle_beta 100.25
_cell_angle_gamma 90.00
_symmetry_space_group_name_H-M 'C 1 2/m 1'
_symmetry_Int_Tables_number 12
loop_
_symmetry_equiv_pos_as_xyz
'x,y,z'
'-x,-y,-z'
'-x,y,-z'
'x,-y,z'
'x+1/2,y+1/2,z'
'-x+1/2,-y+1/2,-z'
'-x+1/2,y+1/2,-z'
'x+1/2,-y+1/2,z'
loop_
_atom_site_label
_atom_site_fract_x
_atom_site_fract_y
_atom_site_fract_z
Pr1 0.241 0.000 0.252
Pr2 0.244 0.162 0.746
Nd1 0.000 0.170 0.000
Nd2 0.000 0.500 0.000
Sm1 0.000 0.335 0.500
Pb1 0.000 0.000 0.500

***

(11)
# PrNdSmPb | Alexandria | PBE | relaxed
# E = -0.341 Ry/atom
# total magnetic moment = 0.00 μB per formula unit
# DFT formation energy = -0.60 eV/f.u.
data_PrNdSmPb
_cell_length_a 7.969
_cell_length_b 7.969
_cell_length_c 7.969
_cell_angle_alpha 90.00
_cell_angle_beta 90.00
_cell_angle_gamma 90.00
_symmetry_space_group_name_H-M 'F -4 3 m'
_symmetry_Int_Tables_number 216
_symmetry_space_group_name_Hall 'F -4 2 3'
loop_
_atom_site_label
_atom_site_fract_x
_atom_site_fract_y
_atom_site_fract_z
Pr1 0.000 0.000 0.000
Nd1 0.000 0.000 0.500
Sm1 0.250 0.250 0.250
Pb1 0.250 0.250 0.750

***

(12)
# Pr2Nd3Sm6Pb | Alexandria | PBE | relaxed
# E = -0.347 Ry/atom
# total magnetic moment = 0.00 μB per formula unit
# DFT formation energy = -0.80 eV/f.u.
data_Pr2Nd3Sm6Pb
_cell_length_a 6.256
_cell_length_b 10.851
_cell_length_c 12.027
_cell_angle_alpha 90.00
_cell_angle_beta 100.13
_cell_angle_gamma 90.00
_symmetry_space_group_name_H-M 'C 1 2/m 1'
_symmetry_Int_Tables_number 12
loop_
_symmetry_equiv_pos_as_xyz
'x,y,z'
'-x,-y,-z'
'-x,y,-z'
'x,-y,z'
'x+1/2,y+1/2,z'
'-x+1/2,-y+1/2,-z'
'-x+1/2,y+1/2,-z'
'x+1/2,-y+1/2,z'
loop_
_atom_site_label
_atom_site_fract_x
_atom_site_fract_y
_atom_site_fract_z
Pr1 0.000 0.166 0.000
Nd1 0.000 0.000 0.500
Nd2 0.000 0.331 0.500
Sm1 0.242 0.500 0.751
Sm2 0.244 0.338 0.247
Pb1 0.000 0.500 0.000